DFT (GGA-PBE) results for a geometry-optimized ReMoIr2 structure.

Cell: 4.4270 4.4270 4.4270 Å, 60.00 60.00 60.00°
Closest atoms and distances in Å follow each position.
Atoms (fractional coordinates):
Re (0.0000, 0.0000, 0.0000)  8 Ir 2.71
Mo (0.5000, 0.5000, 0.5000)  8 Ir 2.71
Ir (0.2500, 0.2500, 0.2500)  4 Mo 2.71, 4 Re 2.71
Ir (0.7500, 0.7500, 0.7500)  4 Mo 2.71, 4 Re 2.71

Results
Formation energy (meV per atom): 447
Space-group type: Fm-3m
Offset from the most stable computed form (meV/atom): 776


DFT (GGA-PBE) results for a geometry-optimized Na2AcCeO4 structure.

Cell: 6.0731 3.7004 6.4445 Å, 90.00 111.08 90.00°
Closest atoms and distances in Å follow each position.
Atoms (fractional coordinates):
Na (0.0000, 0.0000, 0.0000)  6 O 2.63-2.64
Na (0.0000, 0.5000, 0.5000)  6 O 2.70-2.77
Ac (0.5000, 0.0000, 0.5000)  6 O 2.51-2.54
Ce (0.5000, 0.5000, 0.0000)  6 O 2.40-2.44
O (0.2819, 0.5000, 0.2453)  1 Ce 2.40, 2 Ac 2.51, 2 Na 2.63
O (0.2832, 0.0000, 0.7707)  2 Ce 2.44, 1 Ac 2.54, 3 Na 2.64-2.70
O (0.7168, 0.0000, 0.2293)  2 Ce 2.44, 1 Ac 2.54, 3 Na 2.64-2.70
O (0.7181, 0.5000, 0.7547)  1 Ce 2.40, 2 Ac 2.51, 2 Na 2.63

Results
Space-group type: P2/m
E_form (uncorrected) (eV per atom): -2.54


DFT (GGA-PBE) results for a geometry-optimized LuScSiPt structure.

Cell: 4.7822 4.7822 4.7822 Å, 60.00 60.00 60.00°
Closest atoms and distances in Å follow each position.
Atoms (fractional coordinates):
Lu (0.0000, 0.0000, 0.0000)  4 Pt 2.93, 4 Si 2.93
Sc (0.5000, 0.5000, 0.5000)  4 Pt 2.93, 4 Si 2.93
Si (0.2500, 0.2500, 0.2500)  4 Sc 2.93, 4 Lu 2.93
Pt (0.7500, 0.7500, 0.7500)  4 Sc 2.93, 4 Lu 2.93

Results
Space-group type: F-43m
E_form (uncorrected) (eV per atom): -0.87


DFT (GGA-PBE) results for a geometry-optimized TcSn2H structure.

Cell: 4.5858 4.5858 4.5858 Å, 60.00 60.00 60.00°
Closest atoms and distances in Å follow each position.
Atoms (fractional coordinates):
Tc (0.0000, 0.0000, 0.0000)  8 Sn 2.81
Sn (0.2500, 0.2500, 0.2500)  4 H 2.81, 4 Tc 2.81
Sn (0.7500, 0.7500, 0.7500)  4 H 2.81, 4 Tc 2.81
H (0.5000, 0.5000, 0.5000)  8 Sn 2.81

Results
Space-group type: Fm-3m
Offset from the most stable computed form (meV/atom): 0


DFT (GGA-PBE) results for a geometry-optimized PmNi5Ir2 structure.

Cell: 6.0912 6.0912 6.0912 Å, 143.57 113.28 78.47°
Closest atoms and distances in Å follow each position.
Atoms (fractional coordinates):
Pm (0.0000, 0.0000, 0.0000)  4 Ir 3.00, 10 Ni 3.13-3.35
Ni (0.1907, 0.3686, 0.8221)  4 Ni 2.38-2.57, 3 Ir 2.41-2.53
Ni (0.4535, 0.6314, 0.8221)  4 Ni 2.38-2.57, 3 Ir 2.41-2.53
Ni (0.5000, 0.0000, 0.5000)  2 Ir 2.40, 8 Ni 2.57
Ni (0.5465, 0.3686, 0.1779)  4 Ni 2.38-2.57, 3 Ir 2.41-2.53
Ni (0.8093, 0.6314, 0.1779)  4 Ni 2.38-2.57, 3 Ir 2.41-2.53
Ir (0.2459, 0.7459, 0.5000)  7 Ni 2.40-2.53
Ir (0.7541, 0.2541, 0.5000)  7 Ni 2.40-2.53

Results
Formation energy (meV per atom): 8
Space-group type: Immm


DFT (GGA-PBE) results for a geometry-optimized Rb2Er2PuS6 structure.

Cell: 6.9192 6.9192 8.2077 Å, 98.21 98.21 119.97°
Closest atoms and distances in Å follow each position.
Atoms (fractional coordinates):
Rb (0.1684, 0.8316, 0.0000)  6 S 3.38-3.39
Rb (0.8316, 0.1684, 0.0000)  6 S 3.38-3.39
Er (0.3335, 0.6665, 0.5000)  6 S 2.73-2.74
Er (0.6665, 0.3335, 0.5000)  6 S 2.73-2.74
Pu (0.0000, 0.0000, 0.5000)  6 S 2.70-2.71
S (0.0612, 0.3920, 0.6851)  1 Pu 2.71, 2 Er 2.73-2.74
S (0.2654, 0.2654, 0.3153)  1 Pu 2.70, 2 Er 2.74
S (0.3920, 0.0612, 0.6851)  1 Pu 2.71, 2 Er 2.73-2.74
S (0.6080, 0.9388, 0.3149)  1 Pu 2.71, 2 Er 2.73-2.74
S (0.7346, 0.7346, 0.6847)  1 Pu 2.70, 2 Er 2.74
S (0.9388, 0.6080, 0.3149)  1 Pu 2.71, 2 Er 2.73-2.74

Results
Space-group type: C2/m
E_form (uncorrected) (eV per atom): -1.74


DFT (GGA-PBE) results for a geometry-optimized ReAs2P structure.

Cell: 3.4900 4.7448 4.2081 Å, 90.00 101.82 90.00°
Closest atoms and distances in Å follow each position.
Atoms (fractional coordinates):
Re (0.0000, 0.0000, 0.0000)  2 P 2.44, 4 As 2.67
As (0.2059, 0.5000, 0.7939)  3 As 2.40-2.59, 2 Re 2.67
As (0.7941, 0.5000, 0.2061)  3 As 2.40-2.59, 2 Re 2.67
P (0.5000, 0.0000, 0.5000)  2 Re 2.44

Results
Formation energy (meV per atom): 450
Space-group type: P2/m


DFT (GGA-PBE) results for a geometry-optimized NaSc3Al structure.

Cell: 5.3092 5.3092 5.3092 Å, 90.00 90.00 90.00°
Closest atoms and distances in Å follow each position.
Atoms (fractional coordinates):
Na (0.0000, 0.0000, 0.0000)  12 Sc 3.75
Sc (0.0000, 0.5000, 0.5000)  2 Al 2.65
Sc (0.5000, 0.0000, 0.5000)  2 Al 2.65
Sc (0.5000, 0.5000, 0.0000)  2 Al 2.65
Al (0.5000, 0.5000, 0.5000)  6 Sc 2.65

Results
Formation energy (meV per atom): 424
Space-group type: Pm-3m
Offset from the most stable computed form (meV/atom): 0


DFT (GGA-PBE) results for a geometry-optimized LiZnNi2Ag structure.

Cell: 4.4346 4.4346 4.7992 Å, 90.00 90.00 90.00°
Closest atoms and distances in Å follow each position.
Atoms (fractional coordinates):
Li (0.0000, 0.0000, 0.0000)  4 Ag 3.14, 8 Ni 3.27
Zn (0.5000, 0.5000, 0.5000)  4 Ni 2.22, 2 Ag 2.40
Ni (0.0000, 0.5000, 0.5000)  2 Zn 2.22
Ni (0.5000, 0.0000, 0.5000)  2 Zn 2.22
Ag (0.5000, 0.5000, 0.0000)  2 Zn 2.40

Results
Formation energy (meV per atom): 614
Space-group type: P4/mmm


DFT (GGA-PBE) results for a geometry-optimized Ti9TlGa2 structure.

Cell: 4.0608 4.0608 12.3039 Å, 90.00 90.00 90.00°
Closest atoms and distances in Å follow each position.
Atoms (fractional coordinates):
Ti (0.0000, 0.0000, 0.0000)  4 Tl 2.87, 8 Ti 2.99
Ti (0.0000, 0.0000, 0.3386)  8 Ti 2.83-2.84, 4 Ga 2.87
Ti (0.0000, 0.0000, 0.6614)  8 Ti 2.83-2.84, 4 Ga 2.87
Ti (0.0000, 0.5000, 0.1787)  2 Ga 2.82, 8 Ti 2.83-2.99, 2 Tl 2.99
Ti (0.0000, 0.5000, 0.5000)  8 Ti 2.84-2.87, 4 Ga 2.85
Ti (0.0000, 0.5000, 0.8213)  2 Ga 2.82, 8 Ti 2.83-2.99, 2 Tl 2.99
Ti (0.5000, 0.0000, 0.1787)  2 Ga 2.82, 8 Ti 2.83-2.99, 2 Tl 2.99
Ti (0.5000, 0.0000, 0.5000)  8 Ti 2.84-2.87, 4 Ga 2.85
Ti (0.5000, 0.0000, 0.8213)  2 Ga 2.82, 8 Ti 2.83-2.99, 2 Tl 2.99
Tl (0.5000, 0.5000, 0.0000)  12 Ti 2.87-2.99
Ga (0.5000, 0.5000, 0.3376)  12 Ti 2.82-2.87
Ga (0.5000, 0.5000, 0.6624)  12 Ti 2.82-2.87

Results
Formation energy (meV per atom): -197
Space-group type: P4/mmm


DFT (GGA-PBE) results for a geometry-optimized Tl2Cu2Br5 structure.

Cell: 7.3175 7.3175 7.9982 Å, 103.01 103.01 41.82°
Closest atoms and distances in Å follow each position.
Atoms (fractional coordinates):
Tl (0.1064, 0.1064, 0.3085)  6 Br 3.26-3.65
Tl (0.8936, 0.8936, 0.6915)  6 Br 3.26-3.65
Cu (0.3436, 0.3436, 0.1177)  5 Br 2.44-2.63
Cu (0.6564, 0.6564, 0.8823)  5 Br 2.44-2.63
Br (0.1743, 0.1743, 0.9089)  3 Cu 2.51-2.63
Br (0.3522, 0.3522, 0.4262)  1 Cu 2.44
Br (0.5000, 0.5000, 0.0000)  2 Cu 2.54
Br (0.6478, 0.6478, 0.5738)  1 Cu 2.44
Br (0.8257, 0.8257, 0.0911)  3 Cu 2.51-2.63

Results
Space-group type: C2/m
E_form (uncorrected) (eV per atom): -0.52
Offset from the most stable computed form (meV/atom): 8


DFT (GGA-PBE) results for a geometry-optimized Pu2CoSi6Pd structure.

Cell: 12.5774 12.5774 12.5774 Å, 26.71 26.71 26.71°
Closest atoms and distances in Å follow each position.
Atoms (fractional coordinates):
Pu (0.1243, 0.1243, 0.1243)  12 Si 2.94-3.09
Pu (0.2786, 0.2786, 0.2786)  9 Si 2.92-3.16
Pu (0.7214, 0.7214, 0.7214)  9 Si 2.92-3.16
Pu (0.8757, 0.8757, 0.8757)  12 Si 2.94-3.09
Co (0.0000, 0.0000, 0.0000)  6 Si 2.29
Co (0.5000, 0.5000, 0.5000)  6 Si 2.33
Si (0.0719, 0.6635, 0.6635)  1 Co 2.33, 2 Si 2.37, 1 Pd 2.53
Si (0.1885, 0.1885, 0.7730)  1 Co 2.29, 2 Si 2.41, 1 Pd 2.43
Si (0.1885, 0.7730, 0.1885)  1 Co 2.29, 2 Si 2.41, 1 Pd 2.43
Si (0.2270, 0.8115, 0.8115)  1 Co 2.29, 2 Si 2.41, 1 Pd 2.43
Si (0.3365, 0.3365, 0.9281)  1 Co 2.33, 2 Si 2.37, 1 Pd 2.53
Si (0.3365, 0.9281, 0.3365)  1 Co 2.33, 2 Si 2.37, 1 Pd 2.53
Si (0.6635, 0.0719, 0.6635)  1 Co 2.33, 2 Si 2.37, 1 Pd 2.53
Si (0.6635, 0.6635, 0.0719)  1 Co 2.33, 2 Si 2.37, 1 Pd 2.53
Si (0.7730, 0.1885, 0.1885)  1 Co 2.29, 2 Si 2.41, 1 Pd 2.43
Si (0.8115, 0.2270, 0.8115)  1 Co 2.29, 2 Si 2.41, 1 Pd 2.43
Si (0.8115, 0.8115, 0.2270)  1 Co 2.29, 2 Si 2.41, 1 Pd 2.43
Si (0.9281, 0.3365, 0.3365)  1 Co 2.33, 2 Si 2.37, 1 Pd 2.53
Pd (0.4229, 0.4229, 0.4229)  6 Si 2.43-2.53
Pd (0.5771, 0.5771, 0.5771)  6 Si 2.43-2.53

Results
Space-group type: R-3m
E_form (uncorrected) (eV per atom): -0.33